DFT (GGA+U) results for a relaxed structure of Rb3NaNi2F9.

Calculated values
DFT total energy ... -4.159 eV/atom

Cell lengths 5.9242, 5.9242, 7.3176 Å; angles 90.00, 90.00, 120.00 degrees
Space group P-3m1 (No. 164)
Unique sites:
Rb  0.0000  0.0000  0.0000
Rb  0.3333  0.6667  0.6559
Na  0.0000  0.0000  0.5000
Ni  0.3333  0.6667  0.1576
F  0.0000  0.5000  0.0000
F  0.1783  0.3566  0.3097